{
  "formula": "KReAg2Br8",
  "functional": "GGA-PBE",
  "state": "optimized geometry",
  "lattice_angstrom": [[6.609, -0.602, -0.112], [-0.487, 7.042, 1.592], [0.382, 2.005, 9.211]],
  "species": ["Br", "Br", "Br", "Br", "Br", "Br", "Br", "Br", "Ag", "Ag", "Re", "K"],
  "frac_coords": [[0.348, 0.210, 0.979], [0.489, 0.260, 0.439], [0.857, 0.198, 0.126], [0.068, 0.735, 0.267], [0.652, 0.790, 0.021], [0.143, 0.802, 0.874], [0.932, 0.265, 0.733], [0.511, 0.740, 0.561], [0.481, 0.670, 0.308], [0.519, 0.330, 0.692], [0.000, 0.000, 0.000], [0.000, 0.000, 0.500]],
  "raw_formation_energy_mev_per_atom": -512,
  "dos_ef_per_ev_fu": 8.2
}